# 1
# Tb2PmNdAs4 GGA-PBE relaxed
# Crystal system   monoclinic
# Formation energy from the elements   -1.528 eV/atom
data_Tb2PmNdAs4
_chemical_formula_sum 'Tb2 Pm1 Nd1 As4'
_space_group_name_H-M_alt 'P 1 2/m 1'
_space_group_IT_number 10
_cell_length_a 7.268
_cell_length_b 4.200
_cell_length_c 7.270
_cell_angle_alpha 90.00
_cell_angle_beta 109.47
_cell_angle_gamma 90.00
loop_
_space_group_symop_operation_xyz
'x,y,z'
'-x,-y,-z'
'-x,y,-z'
'x,-y,z'
loop_
_atom_site_label
_atom_site_type_symbol
_atom_site_fract_x
_atom_site_fract_y
_atom_site_fract_z
Tb1 Tb 0.000 0.000 0.000
Tb2 Tb 0.000 0.500 0.500
Pm1 Pm 0.500 0.000 0.500
Nd1 Nd 0.500 0.500 0.000
As1 As 0.243 0.000 0.747
As2 As 0.243 0.500 0.249

# 2
# LiSiRh2 GGA-PBE relaxed
# Crystal system   orthorhombic
# Raw formation energy   -0.08 eV/atom
data_LiSiRh2
_chemical_formula_sum 'Li2 Si2 Rh4'
_space_group_name_H-M_alt 'C m m 2'
_space_group_IT_number 35
_cell_length_a 2.834
_cell_length_b 4.625
_cell_length_c 8.659
_cell_angle_alpha 90.00
_cell_angle_beta 90.00
_cell_angle_gamma 90.00
loop_
_space_group_symop_operation_xyz
'x,y,z'
'-x,-y,z'
'-x,y,z'
'x,-y,z'
'x+1/2,y+1/2,z'
'-x+1/2,-y+1/2,z'
'-x+1/2,y+1/2,z'
'x+1/2,-y+1/2,z'
loop_
_atom_site_label
_atom_site_type_symbol
_atom_site_fract_x
_atom_site_fract_y
_atom_site_fract_z
Li1 Li 0.000 0.000 0.000
Si1 Si 0.000 0.500 0.741
Rh1 Rh 0.000 0.000 0.523
Rh2 Rh 0.000 0.500 0.249

# 3
# PuPaAl2 GGA-PBE relaxed
# Crystal system   tetragonal
# Energy above the lowest structure with this stoichiometry   0 meV per atom
# Formation energy from the elements   -0.204 eV/atom
data_PuPaAl2
_chemical_formula_sum 'Pu1 Pa1 Al2'
_space_group_name_H-M_alt 'P 4/m m m'
_space_group_IT_number 123
_space_group_name_Hall '-P 4 2'
_cell_length_a 4.229
_cell_length_b 4.229
_cell_length_c 4.635
_cell_angle_alpha 90.00
_cell_angle_beta 90.00
_cell_angle_gamma 90.00
loop_
_atom_site_label
_atom_site_type_symbol
_atom_site_fract_x
_atom_site_fract_y
_atom_site_fract_z
Pu1 Pu 0.000 0.000 0.000
Pa1 Pa 0.500 0.500 0.000
Al1 Al 0.000 0.500 0.500

# 4
# GaTePCl2 GGA-PBE relaxed
# Crystal system   tetragonal
# Energy above the lowest structure with this stoichiometry   0 meV per atom
# Raw formation energy   0.06 eV/atom
data_GaTePCl2
_chemical_formula_sum 'Ga1 Te1 P1 Cl2'
_space_group_name_H-M_alt 'P 4/m m m'
_space_group_IT_number 123
_space_group_name_Hall '-P 4 2'
_cell_length_a 4.664
_cell_length_b 4.664
_cell_length_c 5.356
_cell_angle_alpha 90.00
_cell_angle_beta 90.00
_cell_angle_gamma 90.00
loop_
_atom_site_label
_atom_site_type_symbol
_atom_site_fract_x
_atom_site_fract_y
_atom_site_fract_z
Ga1 Ga 0.000 0.000 0.000
Te1 Te 0.500 0.500 0.500
P1 P 0.000 0.000 0.500
Cl1 Cl 0.000 0.500 0.000

# 5
# Tl2CuIr GGA-PBE relaxed
# Crystal system   trigonal
# Energy above the lowest structure with this stoichiometry   199 meV per atom
# Formation energy from the elements   0.535 eV/atom
data_Tl2CuIr
_chemical_formula_sum 'Tl6 Cu3 Ir3'
_space_group_name_H-M_alt 'R -3 m'
_space_group_IT_number 166
_space_group_name_Hall '-R 3 2"'
_cell_length_a 3.2488
_cell_length_b 3.2488
_cell_length_c 25.5156
_cell_angle_alpha 90.00
_cell_angle_beta 90.00
_cell_angle_gamma 120.00
loop_
_atom_site_label
_atom_site_type_symbol
_atom_site_fract_x
_atom_site_fract_y
_atom_site_fract_z
Tl1 Tl 0.0000 0.0000 0.2484
Cu1 Cu 0.0000 0.0000 0.5000
Ir1 Ir 0.0000 0.0000 0.0000

# 6
# CeDy2Tm GGA-PBE relaxed
# Crystal system   tetragonal
# Energy above the lowest structure with this stoichiometry   10 meV per atom
# Formation energy from the elements   0.066 eV/atom
data_CeDy2Tm
_chemical_formula_sum 'Ce1 Dy2 Tm1'
_space_group_name_H-M_alt 'P 4/m m m'
_space_group_IT_number 123
_space_group_name_Hall '-P 4 2'
_cell_length_a 4.965
_cell_length_b 4.965
_cell_length_c 4.984
_cell_angle_alpha 90.00
_cell_angle_beta 90.00
_cell_angle_gamma 90.00
loop_
_atom_site_label
_atom_site_type_symbol
_atom_site_fract_x
_atom_site_fract_y
_atom_site_fract_z
Ce1 Ce 0.000 0.000 0.000
Dy1 Dy 0.000 0.500 0.500
Tm1 Tm 0.500 0.500 0.000

no.,total DFT energy (no corrections) (eV per atom)
1,-6.1997
2,-5.5944
3,-8.0324
4,-2.9942
5,-3.8877
6,-4.8369